i) VASP calculation (PBE) on crystalline LaTbTe at its relaxed geometry.

Cell lengths 4.0457, 5.2641, 5.2641 Å; angles 120.00, 90.00, 90.00 degrees
With the nearest neighbours (Å) after each atom.
Fractional coordinates of all 3 atoms:
Tb (0.1462, 0.0000, 0.0000)  3 Te 3.05
La (0.6412, 0.6667, 0.3333)  6 Te 3.50-3.82, 6 Tb 3.64-3.66
Te (0.2125, 0.3333, 0.6667)  3 Tb 3.05

Output
Calculated volume (Å³ per atom): 32.363
Symmetry: P3m1 (156)



ii) VASP calculation (PBE) on crystalline LaTbTe at its relaxed geometry.

Cell lengths 8.1207, 11.7190, 7.4180 Å; angles 142.18, 90.00, 90.00 degrees
With the nearest neighbours (Å) after each atom.
Fractional coordinates of all 12 atoms:
Te (0.8095, 0.5778, 0.0000)  3 Tb 2.97-3.21, 4 La 3.23-3.28
Te (0.3095, 0.9222, 0.0000)  3 Tb 2.97-3.21, 4 La 3.23-3.28
Te (0.6905, 0.0778, 0.0000)  3 Tb 2.97-3.21, 4 La 3.23-3.28
Te (0.1905, 0.4222, 0.0000)  3 Tb 2.97-3.21, 4 La 3.23-3.28
Tb (0.1716, 0.6877, 0.0000)  3 Te 2.97-3.21
Tb (0.6716, 0.8123, 0.0000)  3 Te 2.97-3.21
Tb (0.8284, 0.3123, 0.0000)  3 Te 2.97-3.21
Tb (0.3284, 0.1877, 0.0000)  3 Te 2.97-3.21
La (0.0000, 0.8012, 0.6024)  4 Te 3.23-3.28
La (0.5000, 0.3012, 0.6024)  4 Te 3.23-3.28
La (0.0000, 0.1988, 0.3976)  4 Te 3.23-3.28
La (0.5000, 0.6988, 0.3976)  4 Te 3.23-3.28

Output
Calculated volume (Å³ per atom): 36.075
Symmetry: Cmce (64)



Pick the most stable structure from those above. Pick: ii)